# BaHf3Os

A PBEsol-optimized structure of BaHf3Os (SCAN, Alexandria via LeMat-Bulk).

Results
As for the crystal system: cubic.

a b c (Å): 5.1172 5.1172 5.1172
angles (deg): 90.00 90.00 90.00
With the nearest neighbours (Å) after each atom.
Fractional positions:
Hf  0.0000  0.0000  0.5000  2 Os 2.56
Os  0.0000  0.0000  0.0000  6 Hf 2.56
Hf  0.0000  0.5000  0.0000  2 Os 2.56
Hf  0.5000  0.0000  0.0000  2 Os 2.56
Ba  0.5000  0.5000  0.5000  12 Hf 3.62

***

# Gd2Sc3Si4

A PBEsol-optimized structure of Gd2Sc3Si4 (SCAN, Alexandria via LeMat-Bulk).

Results
As for the crystal system: orthorhombic. The energy relative to the elements, uncorrected comes out at -0.852 eV/atom.

a b c (Å): 7.0455 7.3400 13.8787
angles (deg): 90.00 90.00 90.00
With the nearest neighbours (Å) after each atom.
Fractional positions:
Sc  0.6611  0.9960  0.2500  6 Si 2.76-2.99
Sc  0.1611  0.5040  0.2500  6 Si 2.76-2.99
Gd  0.5108  0.3248  0.5961  6 Si 2.92-3.04
Gd  0.4892  0.6752  0.4039  6 Si 2.92-3.04
Si  0.8448  0.5353  0.5392  1 Si 2.50, 3 Sc 2.72-2.79
Si  0.9679  0.8841  0.7500  1 Si 2.52, 5 Sc 2.72-2.76
Si  0.1552  0.4647  0.4608  1 Si 2.50, 3 Sc 2.72-2.79
Gd  0.9892  0.8248  0.0961  6 Si 2.92-3.04
Sc  0.1712  0.6760  0.6254  6 Si 2.72-2.83
Si  0.3448  0.9647  0.9608  1 Si 2.50, 3 Sc 2.72-2.79
Sc  0.3288  0.1760  0.1254  6 Si 2.72-2.83
Si  0.5321  0.3841  0.2500  1 Si 2.52, 5 Sc 2.72-2.76
Si  0.0321  0.1159  0.2500  1 Si 2.52, 5 Sc 2.72-2.76
Si  0.6552  0.0353  0.4608  1 Si 2.50, 3 Sc 2.72-2.79
Sc  0.1712  0.6760  0.8746  6 Si 2.72-2.83
Sc  0.8288  0.3240  0.1254  6 Si 2.72-2.83
Si  0.6552  0.0353  0.0392  1 Si 2.50, 3 Sc 2.72-2.79
Sc  0.6712  0.8240  0.8746  6 Si 2.72-2.83
Sc  0.3389  0.0040  0.7500  6 Si 2.76-2.99
Si  0.7852  0.6262  0.2500  1 Si 2.52, 1 Sc 2.80
Sc  0.8389  0.4960  0.7500  6 Si 2.76-2.99
Si  0.8448  0.5353  0.9608  1 Si 2.50, 3 Sc 2.72-2.79
Sc  0.8288  0.3240  0.3746  6 Si 2.72-2.83
Gd  0.5108  0.3248  0.9039  6 Si 2.92-3.04
Si  0.1552  0.4647  0.0392  1 Si 2.50, 3 Sc 2.72-2.79
Sc  0.3288  0.1760  0.3746  6 Si 2.72-2.83
Si  0.3448  0.9647  0.5392  1 Si 2.50, 3 Sc 2.72-2.79
Si  0.4679  0.6159  0.7500  1 Si 2.52, 5 Sc 2.72-2.76
Sc  0.6712  0.8240  0.6254  6 Si 2.72-2.83
Si  0.2148  0.3738  0.7500  1 Si 2.52, 1 Sc 2.80
Si  0.2852  0.8738  0.2500  1 Si 2.52, 1 Sc 2.80
Gd  0.0108  0.1752  0.5961  6 Si 2.92-3.04
Gd  0.0108  0.1752  0.9039  6 Si 2.92-3.04
Si  0.7148  0.1262  0.7500  1 Si 2.52, 1 Sc 2.80
Gd  0.9892  0.8248  0.4039  6 Si 2.92-3.04
Gd  0.4892  0.6752  0.0961  6 Si 2.92-3.04

***

# CdHg2W

A PBEsol-optimized structure of CdHg2W (SCAN, Alexandria via LeMat-Bulk).

Results
As for the crystal system: monoclinic.

a b c (Å): 2.8963 5.2677 5.6842
angles (deg): 116.12 104.76 90.00
With the nearest neighbours (Å) after each atom.
Fractional positions:
Cd  0.7576  0.1649  0.5152  7 Hg 2.89-3.02, 2 Cd 2.90, 3 W 2.97-3.04
W  0.4982  0.5998  0.9965  2 W 2.90, 7 Hg 2.93-3.08, 3 Cd 2.97-3.04
Hg  0.0014  0.0867  0.0028  3 Cd 2.89-3.02, 5 Hg 2.90-3.09, 4 W 2.93-3.08
Hg  0.2428  0.6486  0.4855  5 Hg 2.90-3.09, 3 W 2.93-2.96, 4 Cd 3.00-3.02

***

# Re2CI

A PBEsol-optimized structure of Re2CI (SCAN, Alexandria via LeMat-Bulk).

Results
As for the crystal system: cubic. The energy relative to the elements, uncorrected comes out at 2.169 eV/atom.

a b c (Å): 4.2938 4.2938 4.2938
angles (deg): 60.00 60.00 60.00
With the nearest neighbours (Å) after each atom.
Fractional positions:
Re  0.7500  0.7500  0.7500  4 I 2.63, 4 C 2.63
I  0.5000  0.5000  0.5000  8 Re 2.63
C  0.0000  0.0000  0.0000  8 Re 2.63
Re  0.2500  0.2500  0.2500  4 I 2.63, 4 C 2.63

***

# Sc2Mo

A PBEsol-optimized structure of Sc2Mo (SCAN, Alexandria via LeMat-Bulk).

Results
As for the relative energy among the computed polymorphs: 10.18 kcal/mol of atoms. As for the crystal system: tetragonal.

a b c (Å): 2.9392 4.7964 4.7964
angles (deg): 90.00 90.00 90.00
With the nearest neighbours (Å) after each atom.
Fractional positions:
Sc  0.5000  0.0000  0.5000  4 Mo 2.81, 2 Sc 2.94
Sc  0.5000  0.5000  0.0000  4 Mo 2.81, 2 Sc 2.94
Mo  0.0000  0.0000  0.0000  8 Sc 2.81, 2 Mo 2.94

***

# OsRhCl

A PBEsol-optimized structure of OsRhCl (SCAN, Alexandria via LeMat-Bulk).

Results
As for the crystal system: tetragonal. The energy relative to the elements, uncorrected comes out at 0.692 eV/atom.

a b c (Å): 2.8186 2.8186 6.0094
angles (deg): 103.56 103.56 90.00
With the nearest neighbours (Å) after each atom.
Fractional positions:
Rh  0.3160  0.3160  0.6319  4 Os 2.56, 4 Rh 2.82
Cl  0.0099  0.0099  0.0198  4 Os 2.73, 4 Cl 2.82, 4 Rh 2.97
Os  0.6741  0.6741  0.3483  4 Rh 2.56, 4 Cl 2.73, 4 Os 2.82

***

# Zn3Cu5

A PBEsol-optimized structure of Zn3Cu5 (SCAN, Alexandria via LeMat-Bulk).

Results
As for the relative energy among the computed polymorphs: 2.24 kcal/mol of atoms. As for the crystal system: tetragonal.

a b c (Å): 4.6406 6.9221 6.9221
angles (deg): 83.55 70.42 70.42
With the nearest neighbours (Å) after each atom.
Fractional positions:
Cu  0.7500  0.5000  0.5000  2 Cu 2.32, 4 Zn 2.51
Cu  0.9264  0.8401  0.3071  6 Zn 2.42-2.64, 3 Cu 2.52-2.69
Cu  0.7335  0.8401  0.6929  6 Zn 2.42-2.64, 3 Cu 2.52-2.69
Zn  0.8295  0.5000  0.8410  10 Cu 2.42-2.64
Cu  0.2335  0.6929  0.8401  6 Zn 2.42-2.64, 3 Cu 2.52-2.69
Zn  0.2500  0.0000  0.0000  2 Zn 2.32, 8 Cu 2.54
Zn  0.6705  0.1590  0.5000  10 Cu 2.42-2.64
Cu  0.2665  0.1599  0.3071  6 Zn 2.42-2.64, 3 Cu 2.52-2.69
Zn  0.3295  0.8410  0.5000  10 Cu 2.42-2.64
Cu  0.4264  0.3071  0.8401  6 Zn 2.42-2.64, 3 Cu 2.52-2.69
Cu  0.5736  0.6929  0.1599  6 Zn 2.42-2.64, 3 Cu 2.52-2.69
Zn  0.7500  0.0000  0.0000  2 Zn 2.32, 8 Cu 2.54
Cu  0.7665  0.3071  0.1599  6 Zn 2.42-2.64, 3 Cu 2.52-2.69
Cu  0.0736  0.1599  0.6929  6 Zn 2.42-2.64, 3 Cu 2.52-2.69
Cu  0.2500  0.5000  0.5000  2 Cu 2.32, 4 Zn 2.51
Zn  0.1705  0.5000  0.1590  10 Cu 2.42-2.64

***

# YReRu3

A PBEsol-optimized structure of YReRu3 (SCAN, Alexandria via LeMat-Bulk).

Results
As for the relative energy among the computed polymorphs: 0.00 kcal/mol of atoms. As for the crystal system: cubic.

a b c (Å): 4.6347 4.6347 4.6347
angles (deg): 90.00 90.00 90.00
With the nearest neighbours (Å) after each atom.
Fractional positions:
Re  0.0000  0.0000  0.0000  6 Ru 2.32
Ru  0.0000  0.0000  0.5000  2 Re 2.32
Ru  0.0000  0.5000  0.0000  2 Re 2.32
Y  0.5000  0.5000  0.5000  12 Ru 3.28
Ru  0.5000  0.0000  0.0000  2 Re 2.32

***

# NiTeRh

A PBEsol-optimized structure of NiTeRh (SCAN, Alexandria via LeMat-Bulk).

Results
As for the crystal system: trigonal. The energy relative to the elements, uncorrected comes out at 0.058 eV/atom.

a b c (Å): 3.2246 4.0891 4.0891
angles (deg): 120.00 90.00 90.00
With the nearest neighbours (Å) after each atom.
Fractional positions:
Rh  0.6373  0.6667  0.3333  3 Te 2.64, 6 Ni 2.77-2.95
Te  0.2737  0.3333  0.6667  3 Ni 2.43, 3 Rh 2.64
Ni  0.0890  0.0000  0.0000  3 Te 2.43

***

# ZrGa2O2

A PBEsol-optimized structure of ZrGa2O2 (SCAN, Alexandria via LeMat-Bulk).

Results
As for the crystal system: tetragonal. The energy relative to the elements, uncorrected comes out at -0.927 eV/atom.

a b c (Å): 3.4521 3.4521 6.4310
angles (deg): 105.57 105.57 90.00
With the nearest neighbours (Å) after each atom.
Fractional positions:
Zr  0.0000  0.0000  0.0000  8 Ga 3.13, 8 O 3.44, 4 Zr 3.45
O  0.2500  0.7500  0.5000  4 Ga 2.01
O  0.7500  0.2500  0.5000  4 Ga 2.01
Ga  0.3358  0.3358  0.6715  4 O 2.01
Ga  0.6642  0.6642  0.3285  4 O 2.01

***

# Re2IrC2

A PBEsol-optimized structure of Re2IrC2 (SCAN, Alexandria via LeMat-Bulk).

Results
As for the crystal system: tetragonal.

a b c (Å): 3.6824 3.6824 5.0343
angles (deg): 111.45 111.45 90.00
With the nearest neighbours (Å) after each atom.
Fractional positions:
C  0.2500  0.7500  0.5000  4 Re 2.06
Re  0.6428  0.6428  0.2857  4 C 2.06
C  0.7500  0.2500  0.5000  4 Re 2.06
Ir  0.0000  0.0000  0.0000  8 C 2.83, 10 Re 2.88-3.08
Re  0.3572  0.3572  0.7143  4 C 2.06

***

# MnTl2MoF

A PBEsol-optimized structure of MnTl2MoF (SCAN, Alexandria via LeMat-Bulk).

Results
As for the crystal system: tetragonal. The energy relative to the elements, uncorrected comes out at 0.307 eV/atom.

a b c (Å): 4.1938 5.0740 5.0740
angles (deg): 90.00 90.00 90.00
With the nearest neighbours (Å) after each atom.
Fractional positions:
F  0.5000  0.5000  0.5000  8 Tl 3.29, 4 Mo 3.59
Tl  0.0000  0.5000  0.0000  2 Mn 2.54
Tl  0.0000  0.0000  0.5000  2 Mn 2.54
Mn  0.0000  0.0000  0.0000  2 Mo 2.10
Mo  0.5000  0.0000  0.0000  2 Mn 2.10

***

# TiSbO3

A PBEsol-optimized structure of TiSbO3 (SCAN, Alexandria via LeMat-Bulk).

Results
As for the crystal system: cubic. The energy relative to the elements, uncorrected comes out at -1.087 eV/atom.

a b c (Å): 4.0560 4.0560 4.0560
angles (deg): 90.00 90.00 90.00
With the nearest neighbours (Å) after each atom.
Fractional positions:
O  0.0000  0.5000  0.0000  2 Sb 2.03
Sb  0.0000  0.0000  0.0000  6 O 2.03
O  0.5000  0.0000  0.0000  2 Sb 2.03
Ti  0.5000  0.5000  0.5000  12 O 2.87
O  0.0000  0.0000  0.5000  2 Sb 2.03

***

# Na2Al2Bi

A PBEsol-optimized structure of Na2Al2Bi (SCAN, Alexandria via LeMat-Bulk).

Results
As for the crystal system: tetragonal.

a b c (Å): 4.2104 4.2104 7.7699
angles (deg): 105.72 105.72 90.00
With the nearest neighbours (Å) after each atom.
Fractional positions:
Na  0.2500  0.7500  0.5000  4 Na 2.98, 4 Al 3.13
Al  0.5883  0.5883  0.1766  1 Al 2.53
Na  0.7500  0.2500  0.5000  4 Na 2.98, 4 Al 3.13
Al  0.4117  0.4117  0.8234  1 Al 2.53
Bi  0.0000  0.0000  0.0000  8 Al 3.24

***

Number 1: magnetic moment 0.00 μB per formula unit, E -59.67 eV per atom. Number 2: magnetic moment 16.15 μB per formula unit, E -23.12 eV per atom. Number 3: magnetic moment 0.00 μB per formula unit, E -58.51 eV per atom. Number 4: magnetic moment 0.00 μB per formula unit, E -45.09 eV per atom. Number 5: magnetic moment 0.00 μB per formula unit, E -20.64 eV per atom. Number 6: magnetic moment 0.00 μB per formula unit, E -37.18 eV per atom. Number 7: magnetic moment 0.00 μB per formula unit, E -14.55 eV per atom. Number 8: magnetic moment 0.91 μB per formula unit, E -39.97 eV per atom. Number 9: magnetic moment 0.00 μB per formula unit, E -29.01 eV per atom. Number 10: magnetic moment 0.00 μB per formula unit, E -16.10 eV per atom. Number 11: magnetic moment 0.00 μB per formula unit, E -45.71 eV per atom. Number 12: magnetic moment 1.32 μB per formula unit, E -39.97 eV per atom. Number 13: magnetic moment 2.22 μB per formula unit, E -15.48 eV per atom. Number 14: magnetic moment 0.00 μB per formula unit, E -20.32 eV per atom.